(1)
# K2Cd2ReO6

A relaxed K2Cd2ReO6 crystal (PBE, the Alexandria database).

a = 5.9571 Å, b = 9.8371 Å, c = 6.5028 Å
α = 90.00°, β = 108.94°, γ = 90.00°
Closest atoms and distances in Å follow each position.
Space group C2/m (No. 12)
Asymmetric unit:
K 0.0000 0.1774 0.0000 (multiplicity 4)  6 O 2.70-2.89
Cd 0.0000 0.3386 0.5000 (multiplicity 4)  6 O 2.36-2.45
Re 0.0000 0.0000 0.5000 (multiplicity 2)  6 O 1.95
O 0.1974 0.1417 0.6783 (multiplicity 8)  1 Re 1.95
O 0.2089 0.0000 0.3222 (multiplicity 4)  1 Re 1.95

Properties
ΔE_f (raw) = -1.385 eV per atom
calculated density = 5.4 g/cm³

---

(2)
# K2CdRhO4

A relaxed K2CdRhO4 crystal (PBE, the Alexandria database).

a = 6.2387 Å, b = 6.2387 Å, c = 7.1143 Å
α = 90.00°, β = 90.00°, γ = 90.00°
Closest atoms and distances in Å follow each position.
Space group I-4 (No. 82)
Asymmetric unit:
K 0.0000 0.0000 0.0000 (multiplicity 2)  8 O 2.79-3.05
K 0.0000 0.5000 0.2500 (multiplicity 2)  4 O 2.66
Cd 0.0000 0.0000 0.5000 (multiplicity 2)  4 O 2.24
Rh 0.0000 0.5000 0.7500 (multiplicity 2)  4 O 1.93
O 0.1520 0.7628 0.6950 (multiplicity 8)  1 Rh 1.93

Properties
ΔE_f (raw) = -1.000 eV per atom
calculated density = 4.3 g/cm³

---

(3)
# K2Cd2RhO6

A relaxed K2Cd2RhO6 crystal (PBE, the Alexandria database).

a = 5.8678 Å, b = 9.7849 Å, c = 6.5140 Å
α = 90.00°, β = 108.44°, γ = 90.00°
Closest atoms and distances in Å follow each position.
Space group C2/m (No. 12)
Asymmetric unit:
K 0.0000 0.1738 0.0000 (multiplicity 4)  6 O 2.70-2.86
Cd 0.0000 0.3372 0.5000 (multiplicity 4)  6 O 2.31-2.39
Rh 0.0000 0.0000 0.5000 (multiplicity 2)  6 O 1.99-2.00
O 0.2034 0.1466 0.6793 (multiplicity 8)  1 Rh 1.99
O 0.2226 0.0000 0.3225 (multiplicity 4)  1 Rh 2.00

Properties
ΔE_f (raw) = -0.963 eV per atom
calculated density = 4.7 g/cm³

---

(4)
# KCdRu2O8

A relaxed KCdRu2O8 crystal (PBE, the Alexandria database).

a = 10.6331 Å, b = 5.9642 Å, c = 6.8522 Å
α = 90.00°, β = 111.04°, γ = 90.00°
Closest atoms and distances in Å follow each position.
Space group C2/m (No. 12)
Asymmetric unit:
K 0.0000 0.0000 0.0000 (multiplicity 2)  2 O 2.62
Cd 0.0000 0.5000 0.5000 (multiplicity 2)  6 O 2.36-2.40
Ru 0.2111 0.0000 0.6743 (multiplicity 4)  4 O 1.76-1.77
O 0.1115 0.5000 0.2510 (multiplicity 4)  1 Ru 1.77
O 0.1416 0.2443 0.7438 (multiplicity 8)  1 Ru 1.77
O 0.1493 0.0000 0.3992 (multiplicity 4)  1 Ru 1.76

Properties
ΔE_f (raw) = -0.939 eV per atom
calculated density = 3.9 g/cm³

---

(5)
# K2Cd2RuO6

A relaxed K2Cd2RuO6 crystal (PBE, the Alexandria database).

a = 5.8775 Å, b = 9.7876 Å, c = 6.4875 Å
α = 90.00°, β = 108.33°, γ = 90.00°
Closest atoms and distances in Å follow each position.
Space group C2/m (No. 12)
Asymmetric unit:
K 0.0000 0.1752 0.0000 (multiplicity 4)  6 O 2.69-2.88
Cd 0.0000 0.3382 0.5000 (multiplicity 4)  6 O 2.33-2.39
Ru 0.0000 0.0000 0.5000 (multiplicity 2)  6 O 1.96-1.97
O 0.2006 0.1436 0.6778 (multiplicity 8)  1 Ru 1.96
O 0.2155 0.0000 0.3206 (multiplicity 4)  1 Ru 1.97

Properties
ΔE_f (raw) = -1.087 eV per atom
calculated density = 4.7 g/cm³

---

(6)
# K3Cd3RuO8

A relaxed K3Cd3RuO8 crystal (PBE, the Alexandria database).

a = 6.8223 Å, b = 6.8223 Å, c = 18.3678 Å
α = 90.00°, β = 90.00°, γ = 120.00°
Closest atoms and distances in Å follow each position.
Space group R-3m (No. 166, hexagonal axes)
Asymmetric unit:
K 0.0000 0.5000 0.0000 (multiplicity 9)  6 O 2.67-2.82
Cd 0.0000 0.5000 0.5000 (multiplicity 9)  6 O 2.23-2.44
Ru 0.0000 0.0000 0.5000 (multiplicity 3)  6 O 1.94
O 0.0000 0.0000 0.2233 (multiplicity 6)  3 Cd 2.23
O 0.0623 0.5311 0.2264 (multiplicity 18)  1 Ru 1.94

Properties
ΔE_f (raw) = -1.107 eV per atom
calculated density = 4.6 g/cm³

---

> Number 1 is which compound?

K2Cd2ReO6